Pu3GaRu: optimized geometry, PBE.

Structure (POSCAR):
```
Pu3GaRu
1.0
-0.076 -2.248 -2.107
10.128 -1.961 1.726
-7.699 -7.300 8.068
Pu Ga Ru
12 4 4
Direct
0.052 0.835 0.883
0.948 0.165 0.117
0.552 0.665 0.617
0.448 0.335 0.383
0.507 0.858 0.349
0.493 0.142 0.651
0.007 0.642 0.151
0.993 0.358 0.849
0.208 0.384 0.036
0.792 0.616 0.964
0.708 0.116 0.464
0.292 0.884 0.536
0.029 0.611 0.384
0.971 0.389 0.616
0.529 0.889 0.116
0.471 0.111 0.884
0.942 0.938 0.737
0.058 0.062 0.263
0.442 0.562 0.763
0.558 0.438 0.237
```

Results
Total energy ... -11.162 eV/atom
Energy relative to the elements ... -0.10 eV/atom
DOS at the Fermi energy ... 2.59 states/eV per atom
Crystal system ... monoclinic

***

TmAlAg2Se4: optimized geometry, PBE.

Structure (POSCAR):
```
TmAlAg2Se4
1.0
-7.564 -1.277 2.152
2.331 -5.306 5.467
3.244 7.715 -0.308
Tm Al Ag Se
2 2 4 8
Direct
0.000 0.500 0.000
0.000 0.500 0.500
0.500 0.500 0.500
0.000 0.000 0.000
0.500 0.000 0.000
0.500 0.000 0.500
0.000 0.000 0.500
0.500 0.500 0.000
0.251 0.746 0.998
0.754 0.249 0.502
0.246 0.751 0.498
0.749 0.254 0.002
0.748 0.751 0.959
0.749 0.752 0.541
0.251 0.248 0.459
0.252 0.249 0.041
```

Results
Formation energy without anion corrections ... -0.787 eV per atom
Total energy ... -4.269 eV/atom
DOS at the Fermi energy ... 0.10 states/eV per atom
Crystal system ... orthorhombic